Computed, not measured: a relaxed structure of LaNd2Pd2 at the GGA-PBE level of DFT.

abc: 8.1227 8.1227 4.0449
angles: 90.00 90.00 90.00
With the nearest neighbours (Å) after each atom.
Space group P4/mbm (No. 127)
Inequivalent atoms, fractional coordinates:
La 0.0000 0.0000 0.0000 x2  4 Pd 3.20
Nd 0.1649 0.3351 0.5000 x4  6 Pd 3.13
Pd 0.1267 0.6267 0.0000 x4  1 Pd 2.91, 6 Nd 3.13, 2 La 3.20

Values from the calculation:
E_tot ... -55.9 eV/cell
Formation energy ... -615 meV per atom
Polymorph energy (0 for the lowest one) ... 0.0 meV/atom

***

Computed, not measured: a relaxed structure of VSb2MoRh at the GGA-PBE level of DFT.

abc: 5.1557 5.1557 4.4128
angles: 90.00 90.00 90.00
With the nearest neighbours (Å) after each atom.
Space group P4/mmm (No. 123)
Inequivalent atoms, fractional coordinates:
V 0.0000 0.0000 0.0000 x1  2 Mo 2.21
Sb 0.0000 0.5000 0.5000 x2  2 Mo 2.58
Mo 0.0000 0.0000 0.5000 x1  2 V 2.21
Rh 0.5000 0.5000 0.0000 x1  8 Sb 3.39, 4 V 3.65

Values from the calculation:
E_tot ... -30.0 eV/cell
Energy relative to the elements, uncorrected ... 1.1048 eV/atom

***

Computed, not measured: a relaxed structure of Zr3H3Au at the GGA-PBE level of DFT.

abc: 5.7207 5.7207 5.7207
angles: 90.00 90.00 90.00
With the nearest neighbours (Å) after each atom.
Space group Pm-3n (No. 223)
Inequivalent atoms, fractional coordinates:
Zr 0.0000 0.2500 0.5000 x6  4 H 2.02
H 0.0000 0.5000 0.2500 x6  4 Zr 2.02
Au 0.0000 0.0000 0.0000 x2  12 Zr 3.20, 12 H 3.20

Values from the calculation:
E_tot ... -84.6 eV/cell
Polymorph energy (0 for the lowest one) ... 0.0 meV/atom

***

Calculated values (Å³ per cell) of V for the records, taken in order: 267 117 187.